Record 1
DFT (PBE-GGA) results for a relaxed structure of Ag3Pd6Pt.

Lattice parameters (Å, degrees): 4.6575 7.5035 10.1903 115.12 90.00 90.00
With the nearest neighbours (Å) after each atom.
Sites, in units of the cell vectors:
Ag (0.2500, 0.5611, 0.3661)  9 Pd 2.80-2.90, 1 Pt 2.85, 2 Ag 2.85
Ag (0.7500, 0.4389, 0.6339)  9 Pd 2.80-2.90, 1 Pt 2.85, 2 Ag 2.85
Ag (0.2500, 0.3676, 0.7662)  8 Pd 2.81-2.89, 3 Ag 2.83-2.85, 1 Pt 2.83
Ag (0.7500, 0.6324, 0.2338)  8 Pd 2.81-2.89, 3 Ag 2.83-2.85, 1 Pt 2.83
Ag (0.2500, 0.7679, 0.9675)  11 Pd 2.80-2.85, 1 Ag 2.83
Ag (0.7500, 0.2321, 0.0325)  11 Pd 2.80-2.85, 1 Ag 2.83
Pd (0.2500, 0.4648, 0.0648)  7 Ag 2.81-2.85, 5 Pd 2.83-2.88
Pd (0.7500, 0.5352, 0.9352)  7 Ag 2.81-2.85, 5 Pd 2.83-2.88
Pd (0.2500, 0.1660, 0.1642)  4 Ag 2.80-2.84, 8 Pd 2.82-2.85
Pd (0.7500, 0.8340, 0.8358)  4 Ag 2.80-2.84, 8 Pd 2.82-2.85
Pd (0.2500, 0.6736, 0.6654)  6 Pd 2.77-2.92, 1 Pt 2.79, 5 Ag 2.80-2.89
Pd (0.7500, 0.3264, 0.3346)  6 Pd 2.77-2.92, 1 Pt 2.79, 5 Ag 2.80-2.89
Pd (0.2500, 0.2586, 0.4629)  5 Pd 2.72-2.92, 3 Pt 2.79-2.82, 4 Ag 2.83-2.88
Pd (0.7500, 0.7414, 0.5371)  5 Pd 2.72-2.92, 3 Pt 2.79-2.82, 4 Ag 2.83-2.88
Pd (0.2500, 0.8729, 0.2699)  5 Pd 2.72-2.88, 3 Pt 2.78-2.83, 4 Ag 2.84-2.90
Pd (0.7500, 0.1271, 0.7301)  5 Pd 2.72-2.88, 3 Pt 2.78-2.83, 4 Ag 2.84-2.90
Pd (0.2500, 0.0649, 0.8626)  7 Pd 2.77-2.85, 1 Pt 2.81, 4 Ag 2.83-2.85
Pd (0.7500, 0.9351, 0.1374)  7 Pd 2.77-2.85, 1 Pt 2.81, 4 Ag 2.83-2.85
Pt (0.2500, 0.9666, 0.5645)  8 Pd 2.78-2.83, 2 Pt 2.82, 2 Ag 2.83-2.85
Pt (0.7500, 0.0334, 0.4355)  8 Pd 2.78-2.83, 2 Pt 2.82, 2 Ag 2.83-2.85

Computed properties:
Space group: No. 11
Size of the total moment (Bohr magnetons per cell): 0.0
Volume (A^3/atom): 16.12
Offset from the most stable computed form (meV/atom): 0



Record 2
DFT (PBE-GGA) results for a relaxed structure of Ag6Pd3Pt.

Lattice parameters (Å, degrees): 2.8126 13.9133 13.9349 141.21 90.00 90.00
With the nearest neighbours (Å) after each atom.
Sites, in units of the cell vectors:
Ag (0.7500, 0.4631, 0.5642)  5 Pd 2.79-2.93, 8 Ag 2.81-3.09
Ag (0.2500, 0.5369, 0.4358)  5 Pd 2.79-2.93, 8 Ag 2.81-3.09
Ag (0.7500, 0.9327, 0.0380)  3 Pd 2.80-2.93, 8 Ag 2.81-3.11, 2 Pt 3.10
Ag (0.2500, 0.0673, 0.9620)  3 Pd 2.80-2.93, 8 Ag 2.81-3.11, 2 Pt 3.10
Ag (0.7500, 0.3500, 0.1444)  4 Pd 2.66-2.86, 1 Pt 2.70, 6 Ag 2.81-2.96
Ag (0.2500, 0.6500, 0.8556)  4 Pd 2.66-2.86, 1 Pt 2.70, 6 Ag 2.81-2.96
Ag (0.7500, 0.7455, 0.2471)  4 Pd 2.67-2.92, 3 Ag 2.81-2.83, 2 Pt 2.82
Ag (0.2500, 0.2545, 0.7529)  4 Pd 2.67-2.92, 3 Ag 2.81-2.83, 2 Pt 2.82
Ag (0.7500, 0.0635, 0.4534)  7 Ag 2.81-3.03, 2 Pd 2.88, 2 Pt 2.94
Ag (0.2500, 0.9365, 0.5466)  7 Ag 2.81-3.03, 2 Pd 2.88, 2 Pt 2.94
Ag (0.7500, 0.8519, 0.6648)  3 Pd 2.73-2.83, 1 Pt 2.80, 6 Ag 2.81-3.02
Ag (0.2500, 0.1481, 0.3352)  3 Pd 2.73-2.83, 1 Pt 2.80, 6 Ag 2.81-3.02
Pd (0.7500, 0.5413, 0.9365)  5 Ag 2.76-2.92, 4 Pd 2.81-2.97, 2 Pt 2.98
Pd (0.2500, 0.4587, 0.0635)  5 Ag 2.76-2.92, 4 Pd 2.81-2.97, 2 Pt 2.98
Pd (0.7500, 0.6532, 0.3583)  7 Ag 2.66-2.91, 4 Pd 2.81-2.97
Pd (0.2500, 0.3468, 0.6417)  7 Ag 2.66-2.91, 4 Pd 2.81-2.97
Pd (0.7500, 0.2486, 0.2491)  9 Ag 2.71-2.93, 2 Pd 2.81
Pd (0.2500, 0.7514, 0.7509)  9 Ag 2.71-2.93, 2 Pd 2.81
Pt (0.7500, 0.1578, 0.8425)  6 Ag 2.70-2.94, 2 Pt 2.81, 2 Pd 2.98
Pt (0.2500, 0.8422, 0.1575)  6 Ag 2.70-2.94, 2 Pt 2.81, 2 Pd 2.98

Computed properties:
Space group: No. 11
Size of the total moment (Bohr magnetons per cell): 0.0
Volume (A^3/atom): 17.08
Offset from the most stable computed form (meV/atom): 23



Record 3
DFT (PBE-GGA) results for a relaxed structure of AgPdPt6.

Lattice parameters (Å, degrees): 4.6922 5.5938 5.5938 120.12 90.00 90.00
With the nearest neighbours (Å) after each atom.
Sites, in units of the cell vectors:
Ag (0.0000, 0.8281, 0.1719)  10 Pt 2.79-2.89, 2 Pd 2.80
Pd (0.5000, 0.6696, 0.3304)  10 Pt 2.76-2.88, 2 Ag 2.80
Pt (0.5000, 0.6664, 0.8224)  8 Pt 2.73-2.86, 2 Pd 2.76-2.83, 2 Ag 2.89
Pt (0.5000, 0.1776, 0.3336)  8 Pt 2.73-2.86, 2 Pd 2.76-2.83, 2 Ag 2.89
Pt (0.5000, 0.1695, 0.8305)  10 Pt 2.79-2.86, 2 Pd 2.79
Pt (0.0000, 0.8331, 0.6746)  8 Pt 2.75-2.86, 2 Ag 2.80, 2 Pd 2.88
Pt (0.0000, 0.3254, 0.1669)  8 Pt 2.75-2.86, 2 Ag 2.80, 2 Pd 2.88
Pt (0.0000, 0.3306, 0.6694)  2 Ag 2.79, 10 Pt 2.80-2.86

Computed properties:
Space group: No. 38
DFT total energy (eV for the cell shown): -44.0
Size of the total moment (Bohr magnetons per cell): 0.0
Volume (A^3/atom): 15.87



Record 4
DFT (PBE-GGA) results for a relaxed structure of AgPdPt2.

Lattice parameters (Å, degrees): 2.7899 2.7899 9.6199 81.66 81.66 60.00
With the nearest neighbours (Å) after each atom.
Sites, in units of the cell vectors:
Pd (0.0000, 0.0000, 0.0000)  6 Pd 2.79, 6 Pt 2.83
Ag (0.5000, 0.5000, 0.5000)  6 Ag 2.79, 6 Pt 2.90
Pt (0.7484, 0.7484, 0.7547)  6 Pt 2.79, 3 Pd 2.83, 3 Ag 2.90
Pt (0.2516, 0.2516, 0.2453)  6 Pt 2.79, 3 Pd 2.83, 3 Ag 2.90

Computed properties:
Space group: No. 166
Size of the total moment (Bohr magnetons per cell): 0.0
Volume (A^3/atom): 15.98
Offset from the most stable computed form (meV/atom): 0



Record 5
DFT (PBE-GGA) results for a relaxed structure of Ag3PdPt2.

Lattice parameters (Å, degrees): 5.6404 7.6597 7.6597 142.38 89.42 89.42
With the nearest neighbours (Å) after each atom.
Sites, in units of the cell vectors:
Ag (0.3694, 0.7486, 0.7486)  2 Pt 2.78, 4 Pd 2.79-2.86, 4 Ag 2.82-2.93
Ag (0.2482, 0.6684, 0.3285)  3 Ag 2.80-2.85, 6 Pt 2.81-2.90, 1 Pd 2.85
Ag (0.7518, 0.6715, 0.3316)  3 Ag 2.80-2.85, 6 Pt 2.81-2.90, 1 Pd 2.85
Ag (0.2482, 0.3285, 0.6684)  3 Ag 2.80-2.85, 6 Pt 2.81-2.90, 1 Pd 2.85
Ag (0.7518, 0.3316, 0.6715)  3 Ag 2.80-2.85, 6 Pt 2.81-2.90, 1 Pd 2.85
Ag (0.6306, 0.2514, 0.2514)  2 Pt 2.78, 4 Pd 2.79-2.86, 4 Ag 2.82-2.93
Pd (0.8748, 0.7506, 0.7506)  2 Pt 2.71, 6 Ag 2.79-2.86, 2 Pd 2.81-2.88
Pd (0.1252, 0.2494, 0.2494)  2 Pt 2.71, 6 Ag 2.79-2.86, 2 Pd 2.81-2.88
Pt (0.0000, 0.8413, 0.1587)  2 Pd 2.71, 6 Ag 2.81-2.87, 2 Pt 2.82
Pt (0.5000, 0.8368, 0.1632)  8 Ag 2.78-2.90, 2 Pt 2.82
Pt (0.0000, 0.1587, 0.8413)  2 Pd 2.71, 6 Ag 2.81-2.87, 2 Pt 2.82
Pt (0.5000, 0.1632, 0.8368)  8 Ag 2.78-2.90, 2 Pt 2.82

Computed properties:
Space group: No. 12
DFT total energy (eV for the cell shown): -50.5
Size of the total moment (Bohr magnetons per cell): 0.0
Volume (A^3/atom): 16.83



Record 6
DFT (PBE-GGA) results for a relaxed structure of Ag5Pd4Pt.

Lattice parameters (Å, degrees): 6.0941 7.4812 8.3329 90.00 90.00 90.00
With the nearest neighbours (Å) after each atom.
Sites, in units of the cell vectors:
Ag (0.3109, 0.8101, 0.6708)  4 Pd 2.75-3.02, 1 Pt 2.76, 4 Ag 2.80-2.89
Ag (0.3109, 0.1899, 0.6708)  4 Pd 2.75-3.02, 1 Pt 2.76, 4 Ag 2.80-2.89
Ag (0.0296, 0.5000, 0.0000)  4 Pd 2.69-2.74, 4 Ag 2.89
Ag (0.3109, 0.8101, 0.3292)  4 Pd 2.75-3.02, 1 Pt 2.76, 4 Ag 2.80-2.89
Ag (0.3109, 0.1899, 0.3292)  4 Pd 2.75-3.02, 1 Pt 2.76, 4 Ag 2.80-2.89
Ag (0.6891, 0.6899, 0.1708)  4 Pd 2.75-3.02, 1 Pt 2.76, 4 Ag 2.80-2.89
Ag (0.6891, 0.3101, 0.1708)  4 Pd 2.75-3.02, 1 Pt 2.76, 4 Ag 2.80-2.89
Ag (0.9704, 0.0000, 0.5000)  4 Pd 2.69-2.74, 4 Ag 2.89
Ag (0.6891, 0.3101, 0.8292)  4 Pd 2.75-3.02, 1 Pt 2.76, 4 Ag 2.80-2.89
Ag (0.6891, 0.6899, 0.8292)  4 Pd 2.75-3.02, 1 Pt 2.76, 4 Ag 2.80-2.89
Pd (0.9751, 0.0000, 0.8290)  1 Pt 2.60, 5 Ag 2.74-2.90, 3 Pd 2.76-2.85
Pd (0.2734, 0.7990, 0.0000)  1 Pt 2.58, 3 Ag 2.69-2.75, 2 Pd 2.76
Pd (0.2734, 0.2010, 0.0000)  1 Pt 2.58, 3 Ag 2.69-2.75, 2 Pd 2.76
Pd (0.9751, 0.0000, 0.1710)  1 Pt 2.60, 5 Ag 2.74-2.90, 3 Pd 2.76-2.85
Pd (0.0249, 0.5000, 0.3290)  1 Pt 2.60, 5 Ag 2.74-2.90, 3 Pd 2.76-2.85
Pd (0.7266, 0.7010, 0.5000)  1 Pt 2.58, 3 Ag 2.69-2.75, 2 Pd 2.76
Pd (0.7266, 0.2990, 0.5000)  1 Pt 2.58, 3 Ag 2.69-2.75, 2 Pd 2.76
Pd (0.0249, 0.5000, 0.6710)  1 Pt 2.60, 5 Ag 2.74-2.90, 3 Pd 2.76-2.85
Pt (0.6180, 0.0000, 0.0000)  4 Pd 2.58-2.60, 4 Ag 2.76
Pt (0.3820, 0.5000, 0.5000)  4 Pd 2.58-2.60, 4 Ag 2.76

Computed properties:
Space group: No. 59
Size of the total moment (Bohr magnetons per cell): 0.0
Volume (A^3/atom): 19.00
Offset from the most stable computed form (meV/atom): 291



Record 7
DFT (PBE-GGA) results for a relaxed structure of Ag3Pd4Pt.

Lattice parameters (Å, degrees): 5.6722 5.6697 6.3458 77.49 131.81 119.83
With the nearest neighbours (Å) after each atom.
Sites, in units of the cell vectors:
Pt (0.0000, 0.0000, 0.0000)  6 Pd 2.79-2.84, 6 Ag 2.84-2.85
Pd (0.0000, 0.5000, 0.0000)  6 Pd 2.82-2.89, 4 Ag 2.83-2.84, 2 Pt 2.83
Pd (0.5000, 0.0000, 0.0000)  6 Pd 2.82-2.89, 4 Ag 2.83-2.84, 2 Pt 2.84
Pd (0.2427, 0.2468, 0.4897)  1 Pt 2.79, 6 Pd 2.82-2.89, 5 Ag 2.82-2.88
Pd (0.7573, 0.7532, 0.5103)  1 Pt 2.79, 6 Pd 2.82-2.89, 5 Ag 2.82-2.88
Ag (0.5000, 0.5000, 0.0000)  6 Pd 2.83-2.88, 2 Pt 2.84, 4 Ag 2.85
Ag (0.7494, 0.2495, 0.5001)  6 Pd 2.82-2.85, 4 Ag 2.84-2.85, 2 Pt 2.85
Ag (0.2506, 0.7505, 0.4999)  6 Pd 2.82-2.85, 4 Ag 2.84-2.85, 2 Pt 2.85

Computed properties:
Space group: No. 12
Size of the total moment (Bohr magnetons per cell): 0.0
Volume (A^3/atom): 16.23
Offset from the most stable computed form (meV/atom): 0



Record 8
DFT (PBE-GGA) results for a relaxed structure of AgPd6Pt.

Lattice parameters (Å, degrees): 3.9785 4.8671 7.4177 77.59 74.44 65.88
With the nearest neighbours (Å) after each atom.
Sites, in units of the cell vectors:
Ag (0.0000, 0.5000, 0.5000)  12 Pd 2.81-2.83
Pd (0.2483, 0.8759, 0.6274)  1 Pt 2.78, 8 Pd 2.79-2.84, 3 Ag 2.81-2.82
Pd (0.5011, 0.2450, 0.7529)  8 Pd 2.77-2.84, 2 Pt 2.79, 2 Ag 2.83
Pd (0.2510, 0.3754, 0.1227)  8 Pd 2.77-2.82, 3 Pt 2.80-2.81, 1 Ag 2.82
Pd (0.4989, 0.7550, 0.2471)  8 Pd 2.77-2.84, 2 Pt 2.79, 2 Ag 2.83
Pd (0.7517, 0.1241, 0.3726)  1 Pt 2.78, 8 Pd 2.79-2.84, 3 Ag 2.81-2.82
Pd (0.7490, 0.6246, 0.8773)  8 Pd 2.77-2.82, 3 Pt 2.80-2.81, 1 Ag 2.82
Pt (0.0000, 0.0000, 0.0000)  12 Pd 2.78-2.81

Computed properties:
Space group: No. 12
Size of the total moment (Bohr magnetons per cell): 0.3
Volume (A^3/atom): 15.67
Offset from the most stable computed form (meV/atom): 6



Record 9
DFT (PBE-GGA) results for a relaxed structure of Ag3PdPt.

Lattice parameters (Å, degrees): 5.4407 5.4407 7.6414 69.15 69.15 60.00
With the nearest neighbours (Å) after each atom.
Sites, in units of the cell vectors:
Ag (0.1086, 0.6121, 0.6672)  6 Ag 2.70-2.82, 2 Pt 2.79-2.81, 2 Pd 2.90
Ag (0.6121, 0.1086, 0.6672)  6 Ag 2.70-2.82, 2 Pt 2.79-2.81, 2 Pd 2.90
Ag (0.3879, 0.3879, 0.3328)  6 Ag 2.70-2.82, 2 Pt 2.79-2.81, 2 Pd 2.90
Ag (0.3879, 0.8914, 0.3328)  6 Ag 2.70-2.82, 2 Pt 2.79-2.81, 2 Pd 2.90
Ag (0.8914, 0.3879, 0.3328)  6 Ag 2.70-2.82, 2 Pt 2.79-2.81, 2 Pd 2.90
Ag (0.6121, 0.6121, 0.6672)  6 Ag 2.70-2.82, 2 Pt 2.79-2.81, 2 Pd 2.90
Pd (0.0634, 0.0634, 0.8099)  1 Pd 2.65, 6 Ag 2.90
Pd (0.9366, 0.9366, 0.1901)  1 Pd 2.65, 6 Ag 2.90
Pt (0.3334, 0.3334, 0.9999)  6 Ag 2.79-2.81
Pt (0.6666, 0.6666, 0.0001)  6 Ag 2.79-2.81

Computed properties:
Space group: No. 166
Size of the total moment (Bohr magnetons per cell): 0.0
Volume (A^3/atom): 17.86
Offset from the most stable computed form (meV/atom): 227



Record 10
DFT (PBE-GGA) results for a relaxed structure of AgPdPt4.

Lattice parameters (Å, degrees): 2.7964 2.7964 12.1888 90.00 90.00 90.00
With the nearest neighbours (Å) after each atom.
Sites, in units of the cell vectors:
Ag (0.0000, 0.0000, 0.0000)  4 Ag 2.80, 8 Pt 2.91
Pd (0.5000, 0.5000, 0.5000)  8 Pt 2.79, 4 Pd 2.80
Pt (0.5000, 0.5000, 0.1752)  8 Pt 2.80, 4 Ag 2.91
Pt (0.0000, 0.0000, 0.6616)  4 Pd 2.79, 8 Pt 2.80
Pt (0.0000, 0.0000, 0.3384)  4 Pd 2.79, 8 Pt 2.80
Pt (0.5000, 0.5000, 0.8248)  8 Pt 2.80, 4 Ag 2.91

Computed properties:
Space group: No. 123
Size of the total moment (Bohr magnetons per cell): 0.0
Volume (A^3/atom): 15.89
Offset from the most stable computed form (meV/atom): 0



Record 11
DFT (PBE-GGA) results for a relaxed structure of Ag5Pd3Pt.

Lattice parameters (Å, degrees): 5.8328 5.8328 10.5901 83.81 83.81 85.22
With the nearest neighbours (Å) after each atom.
Sites, in units of the cell vectors:
Ag (0.9693, 0.4092, 0.3281)  3 Pd 2.64-2.85, 1 Pt 2.84, 1 Ag 2.86
Ag (0.3256, 0.6744, 0.0000)  3 Pd 2.57-2.78, 3 Ag 2.75-2.82
Ag (0.7114, 0.7114, 0.1330)  3 Ag 2.62-2.82, 1 Pt 2.64, 2 Pd 2.66-2.73
Ag (0.4561, 0.4561, 0.3028)  3 Ag 2.62-2.86, 3 Pd 2.65-2.90
Ag (0.5439, 0.5439, 0.6972)  3 Ag 2.62-2.86, 3 Pd 2.65-2.90
Ag (0.2886, 0.2886, 0.8670)  3 Ag 2.62-2.82, 1 Pt 2.64, 2 Pd 2.66-2.73
Ag (0.4092, 0.9693, 0.3281)  3 Pd 2.64-2.85, 1 Pt 2.84, 1 Ag 2.86
Ag (0.6744, 0.3256, 0.0000)  3 Pd 2.57-2.78, 3 Ag 2.75-2.82
Ag (0.0307, 0.5908, 0.6719)  3 Pd 2.64-2.85, 1 Pt 2.84, 1 Ag 2.86
Ag (0.5908, 0.0307, 0.6719)  3 Pd 2.64-2.85, 1 Pt 2.84, 1 Ag 2.86
Pd (0.7577, 0.7577, 0.8724)  1 Pd 2.64, 1 Pt 2.68, 6 Ag 2.73-2.79
Pd (0.7024, 0.7024, 0.4628)  1 Pd 2.64, 4 Ag 2.64-2.90, 1 Pt 2.79
Pd (0.0000, 0.0000, 0.0000)  4 Ag 2.57-2.66, 2 Pd 2.64, 2 Pt 2.74
Pd (0.0000, 0.0000, 0.5000)  2 Pt 2.61, 2 Pd 2.64, 4 Ag 2.85
Pd (0.2423, 0.2423, 0.1276)  1 Pd 2.64, 1 Pt 2.68, 6 Ag 2.73-2.79
Pd (0.2976, 0.2976, 0.5372)  1 Pd 2.64, 4 Ag 2.64-2.90, 1 Pt 2.79
Pt (0.0483, 0.0483, 0.7380)  4 Pd 2.61-2.79, 3 Ag 2.64-2.84
Pt (0.9517, 0.9517, 0.2620)  4 Pd 2.61-2.79, 3 Ag 2.64-2.84

Computed properties:
Space group: No. 12
DFT total energy (eV for the cell shown): -65.8
Size of the total moment (Bohr magnetons per cell): 0.0
Volume (A^3/atom): 19.73



Record 12
DFT (PBE-GGA) results for a relaxed structure of Ag7Pd2Pt2.

Lattice parameters (Å, degrees): 4.8247 7.3604 6.5213 87.22 100.65 119.53
With the nearest neighbours (Å) after each atom.
Sites, in units of the cell vectors:
Ag (0.6670, 0.9066, 0.4226)  2 Pd 2.79-2.98, 6 Ag 2.80-2.92, 3 Pt 2.82-2.96
Ag (0.3380, 0.5776, 0.0932)  2 Pd 2.78-2.98, 6 Ag 2.80-2.92, 3 Pt 2.82-2.96
Ag (0.3330, 0.0934, 0.5774)  2 Pd 2.79-2.98, 6 Ag 2.80-2.92, 3 Pt 2.82-2.96
Ag (0.6620, 0.4224, 0.9068)  2 Pd 2.78-2.98, 6 Ag 2.80-2.92, 3 Pt 2.82-2.96
Ag (0.5000, 0.0000, 0.0000)  4 Pd 2.80, 6 Ag 2.87-3.01, 2 Pt 2.89
Ag (0.1591, 0.6595, 0.6597)  2 Pt 2.82, 6 Ag 2.82-3.01, 2 Pd 2.89
Ag (0.8409, 0.3405, 0.3403)  2 Pt 2.82, 6 Ag 2.82-3.01, 2 Pd 2.89
Pd (0.1613, 0.1612, 0.1609)  2 Pt 2.76, 8 Ag 2.78-2.98, 1 Pd 2.84
Pd (0.8387, 0.8388, 0.8391)  2 Pt 2.76, 8 Ag 2.78-2.98, 1 Pd 2.84
Pt (0.9912, 0.2447, 0.7551)  2 Pd 2.76, 9 Ag 2.82-2.96
Pt (0.0088, 0.7553, 0.2449)  2 Pd 2.76, 9 Ag 2.82-2.96

Computed properties:
Space group: No. 12
Size of the total moment (Bohr magnetons per cell): 0.0
Volume (A^3/atom): 17.98
Offset from the most stable computed form (meV/atom): 0